Entry 1:
The following is a DFT calculation (GGA-PBE) of an optimized crystal structure of AcTmIrPt.

abc: 5.0765 5.0765 5.0765
angles: 60.00 60.00 60.00
Last column: nearest neighbours and their distance in Å.
Sites, in units of the cell vectors:
Ir 0.2500 0.2500 0.2500  4 Ac 3.11, 4 Tm 3.11
Pt 0.7500 0.7500 0.7500  4 Ac 3.11, 4 Tm 3.11
Ac 0.0000 0.0000 0.0000  4 Pt 3.11, 4 Ir 3.11
Tm 0.5000 0.5000 0.5000  4 Ir 3.11, 4 Pt 3.11

Magnetization (μB/atom): 0.000
Formation energy (eV/atom): -0.81
Volume (Å³/atom): 23.13
DOS(E_F) (states/eV per cell): 1.41
Theoretical density (g/cm³): 14.06
Crystal system: cubic
Space group: F-43m, No. 216

***

Entry 2:
The following is a DFT calculation (GGA-PBE) of an optimized crystal structure of Ca4ZnInAg2.

abc: 5.2982 5.2982 9.1652
angles: 73.20 73.20 60.00
Last column: nearest neighbours and their distance in Å.
Sites, in units of the cell vectors:
Zn 0.5000 0.5000 0.5000  8 Ca 3.18-3.23
Ca 0.8731 0.8731 0.3806  3 Zn 3.23, 4 Ag 3.23-3.28, 1 In 3.29
Ca 0.6228 0.6228 0.1315  1 Zn 3.18, 4 Ag 3.21-3.25, 3 In 3.26
Ag 0.2516 0.2516 0.2452  8 Ca 3.21-3.28
Ca 0.1269 0.1269 0.6194  3 Zn 3.23, 4 Ag 3.23-3.28, 1 In 3.29
In 0.0000 0.0000 0.0000  8 Ca 3.26-3.29
Ag 0.7484 0.7484 0.7548  8 Ca 3.21-3.28
Ca 0.3772 0.3772 0.8685  1 Zn 3.18, 4 Ag 3.21-3.25, 3 In 3.26

Magnetization (μB/atom): 0.000
Formation energy (eV/atom): -0.32
Volume (Å³/atom): 26.25
DOS(E_F) (states/eV per cell): 3.90
Theoretical density (g/cm³): 4.40
Crystal system: trigonal
Space group: R-3m, No. 166

***

Entry 3:
The following is a DFT calculation (GGA-PBE) of an optimized crystal structure of Tb12NdDy2.

abc: 6.6438 6.6438 24.9559
angles: 83.38 96.62 64.93
Last column: nearest neighbours and their distance in Å.
Sites, in units of the cell vectors:
Tb 0.5050 0.4997 0.6700  3 Tb 3.12-3.32
Tb 0.9051 0.1005 0.2021  3 Tb 3.12-3.21
Dy 0.0478 0.4522 0.7272  2 Dy 3.53-3.60, 10 Tb 3.59-3.78
Tb 0.8225 0.6775 0.4273  8 Tb 3.34-3.65
Tb 0.1649 0.8298 0.5554  10 Tb 3.23-3.57
Nd 0.5007 0.9993 0.0012  2 Tb 3.37-3.38, 2 Nd 3.56-3.57
Tb 0.1858 0.3142 0.5763  8 Tb 3.35-3.64
Tb 0.6702 0.3351 0.5554  10 Tb 3.23-3.57
Tb 0.0566 0.9430 0.0746  9 Tb 3.57-3.68, 4 Nd 3.77-3.80
Tb 0.5949 0.3995 0.7979  3 Tb 3.12-3.21
Dy 0.9567 0.5433 0.2722  2 Dy 3.53-3.60, 10 Tb 3.60-3.76
Tb 0.6775 0.8225 0.5727  8 Tb 3.34-3.65
Tb 0.3142 0.1858 0.4237  8 Tb 3.35-3.64
Tb 0.4997 0.5050 0.3300  3 Tb 3.12-3.32
Dy 0.4522 0.0478 0.2728  2 Dy 3.53-3.60, 10 Tb 3.59-3.78
Tb 0.3965 0.1035 0.8631  4 Tb 3.19-3.57, 1 Nd 3.37
Tb 0.9950 0.0003 0.3300  3 Tb 3.12-3.32
Tb 0.0003 0.9950 0.6700  3 Tb 3.12-3.32
Tb 0.6053 0.8947 0.1400  4 Tb 3.21-3.57, 1 Nd 3.38
Tb 0.4434 0.5570 0.9254  9 Tb 3.57-3.68, 4 Nd 3.77-3.80
Nd 0.9993 0.5007 0.9988  2 Tb 3.37-3.38, 2 Nd 3.56-3.57
Tb 0.3351 0.6702 0.4446  10 Tb 3.23-3.57
Dy 0.5433 0.9567 0.7278  2 Dy 3.53-3.60, 10 Tb 3.60-3.76
Tb 0.9430 0.0566 0.9254  9 Tb 3.57-3.68, 4 Nd 3.77-3.80
Tb 0.8947 0.6053 0.8600  4 Tb 3.21-3.57, 1 Nd 3.38
Tb 0.1035 0.3965 0.1369  4 Tb 3.19-3.57, 1 Nd 3.37
Tb 0.1005 0.9051 0.7979  3 Tb 3.12-3.21
Tb 0.5570 0.4434 0.0746  9 Tb 3.57-3.68, 4 Nd 3.77-3.80
Tb 0.3995 0.5949 0.2021  3 Tb 3.12-3.21
Tb 0.8298 0.1649 0.4446  10 Tb 3.23-3.57

Magnetization (μB/atom): 0.000
Formation energy (eV/atom): 0.11
Volume (Å³/atom): 32.48
DOS(E_F) (states/eV per cell): 46.75
Theoretical density (g/cm³): 8.10
Crystal system: monoclinic
Space group: C2/m, No. 12

***

Entry 4:
The following is a DFT calculation (GGA-PBE) of an optimized crystal structure of Cs2DySiO4.

abc: 5.6607 7.1280 12.8066
angles: 84.97 77.23 66.60
Last column: nearest neighbours and their distance in Å.
Sites, in units of the cell vectors:
Cs 0.5708 0.5000 0.8583  4 O 3.50-3.53
O 0.3976 0.6472 0.4302  1 Si 1.67
O 0.5778 0.1472 0.0698  1 Si 1.67
O 0.7948 0.8528 0.9302  1 Si 1.67
O 0.2750 0.1472 0.9302  1 Si 1.67
Dy 0.7500 0.5000 0.5000  4 O 2.20
Cs 0.9292 0.5000 0.1417  4 O 3.50-3.53
Si 0.2500 0.5000 0.5000  4 O 1.67
O 0.1722 0.3528 0.4302  1 Si 1.67
Cs 0.8208 0.0000 0.3583  4 O 3.50-3.53
Dy 0.0000 0.0000 0.0000  4 O 2.20
Cs 0.1792 0.0000 0.6417  4 O 3.50-3.53
Si 0.5000 0.0000 0.0000  4 O 1.67
O 0.4750 0.3528 0.5698  1 Si 1.67
O 0.9552 0.6472 0.5698  1 Si 1.67
O 0.3524 0.8528 0.0698  1 Si 1.67

Formation energy from raw total energies (kJ per mole of atoms): -214.5
Magnetization (μB/atom): 0.000
Volume (Å³/atom): 28.91
DOS(E_F) (states/eV per cell): 4.77
Theoretical density (g/cm³): 3.74
Crystal system: orthorhombic
Space group: Fddd, No. 70